1.
Material: SiPSeBr2
Method: DFT, GGA-PBEsol
State: optimized geometry

Structure (POSCAR):
```
SiPSeBr2
1.0
4.828 0.000 0.000
0.000 4.828 0.000
0.000 0.000 5.120
Si P Se Br
1 1 1 2
direct
0.000 0.000 0.000 Si
0.500 0.500 0.500 P
0.000 0.000 0.500 Se
0.000 0.500 0.000 Br
0.500 0.000 0.000 Br
```

## Properties
Space group   No. 123
Theoretical density   4.14 g/cm³
M_tot   0.296 μB/atom
D(E_F)   2.18 states/eV/cell
Raw total energy   -3.27 eV per atom

=====

2.
Material: TiPSeBr2
Method: DFT, GGA-PBEsol
State: optimized geometry

Structure (POSCAR):
```
TiPSeBr2
1.0
4.946 0.000 0.000
0.000 4.946 0.000
0.000 0.000 4.885
Ti P Se Br
1 1 1 2
direct
0.000 0.000 0.000 Ti
0.500 0.500 0.500 P
0.500 0.500 0.000 Se
0.000 0.500 0.500 Br
0.500 0.000 0.500 Br
```

## Properties
Space group   No. 123
Theoretical density   4.41 g/cm³
M_tot   0.476 μB/atom
D(E_F)   7.03 states/eV/cell
Raw total energy   -3.97 eV per atom

=====

3.
Material: PWSeBr2
Method: DFT, GGA-PBEsol
State: optimized geometry

Structure (POSCAR):
```
PWSeBr2
1.0
5.061 0.000 0.000
0.000 5.061 0.000
0.000 0.000 4.828
P W Se Br
1 1 1 2
direct
0.000 0.000 0.000 P
0.500 0.500 0.500 W
0.500 0.500 0.000 Se
0.000 0.500 0.500 Br
0.500 0.000 0.500 Br
```

## Properties
Space group   No. 123
Theoretical density   6.09 g/cm³
M_tot   0.569 μB/atom
D(E_F)   3.59 states/eV/cell
Raw total energy   -4.64 eV per atom
Polymorph energy (0 for the lowest one)   0.0000 eV/atom

=====

4.
Material: PWSeBr2
Method: DFT, GGA-PBEsol
State: optimized geometry

Structure (POSCAR):
```
PWSeBr2
1.0
4.808 0.000 0.000
0.000 4.808 0.000
0.000 0.000 5.100
P W Se Br
1 1 1 2
direct
0.000 0.000 0.000 P
0.500 0.500 0.500 W
0.000 0.000 0.500 Se
0.000 0.500 0.000 Br
0.500 0.000 0.000 Br
```

## Properties
Space group   No. 123
Theoretical density   6.39 g/cm³
M_tot   0.901 μB/atom
D(E_F)   4.48 states/eV/cell
Raw total energy   -4.13 eV per atom
Polymorph energy (0 for the lowest one)   0.5158 eV/atom

=====

5.
Material: YPSeBr2
Method: DFT, GGA-PBEsol
State: optimized geometry

Structure (POSCAR):
```
YPSeBr2
1.0
5.373 0.000 0.000
0.000 5.373 0.000
0.000 0.000 5.611
Y P Se Br
1 1 1 2
direct
0.000 0.000 0.000 Y
0.500 0.500 0.500 P
0.000 0.000 0.500 Se
0.000 0.500 0.000 Br
0.500 0.000 0.000 Br
```

## Properties
Space group   No. 123
Theoretical density   3.68 g/cm³
M_tot   0.400 μB/atom
D(E_F)   1.88 states/eV/cell
Raw total energy   -4.38 eV per atom

=====

6.
Material: SiP2Br
Method: DFT, GGA-PBEsol
State: optimized geometry

Structure (POSCAR):
```
SiP2Br
1.0
4.397 0.000 0.000
0.000 3.535 0.000
-1.616 0.000 4.981
Si P Br
1 2 1
direct
0.000 0.000 0.000 Si
0.381 0.500 0.147 P
0.619 0.500 0.853 P
0.000 0.000 0.500 Br
```

## Properties
Space group   No. 10
Theoretical density   3.64 g/cm³
M_tot   0.000 μB/atom
D(E_F)   1.17 states/eV/cell
Raw total energy   -4.79 eV per atom
Polymorph energy (0 for the lowest one)   0.0000 eV/atom

=====

7.
Material: SiPBr
Method: DFT, GGA-PBEsol
State: optimized geometry

Structure (POSCAR):
```
SiPBr
1.0
3.474 0.000 0.000
-1.737 3.009 0.000
0.000 0.000 6.208
Si P Br
1 1 1
direct
0.000 0.000 0.000 Si
0.667 0.333 0.171 P
0.333 0.667 0.698 Br
```

## Properties
Space group   No. 156
Theoretical density   3.56 g/cm³
M_tot   0.000 μB/atom
Raw total energy   -4.61 eV per atom

=====

8.
Material: SiP2Br
Method: DFT, GGA-PBEsol
State: optimized geometry

Structure (POSCAR):
```
SiP2Br
1.0
-1.626 2.346 4.627
1.626 -2.346 4.627
1.626 2.346 -4.627
Si P Br
1 2 1
direct
0.000 0.000 0.000 Si
0.193 0.693 0.500 P
0.807 0.307 0.500 P
0.500 0.500 0.000 Br
```

## Properties
Space group   No. 71
Theoretical density   4.00 g/cm³
M_tot   0.000 μB/atom
D(E_F)   1.96 states/eV/cell
Raw total energy   -4.28 eV per atom
Polymorph energy (0 for the lowest one)   0.5050 eV/atom

=====

9.
Material: Zr2SiPBr
Method: DFT, GGA-PBEsol
State: optimized geometry

Structure (POSCAR):
```
Zr2SiPBr
1.0
4.938 0.000 0.000
0.000 4.938 0.000
0.000 0.000 4.295
Zr Si P Br
2 1 1 1
direct
0.000 0.500 0.000 Zr
0.500 0.000 0.000 Zr
0.000 0.000 0.500 Si
0.000 0.000 0.000 P
0.500 0.500 0.500 Br
```

## Properties
Space group   No. 123
Theoretical density   5.10 g/cm³
M_tot   0.000 μB/atom
D(E_F)   2.66 states/eV/cell
Raw total energy   -6.34 eV per atom

=====

10.
Material: SnP2Br
Method: DFT, GGA-PBEsol
State: optimized geometry

Structure (POSCAR):
```
SnP2Br
1.0
0.000 3.367 3.367
3.367 0.000 3.367
3.367 3.367 0.000
Sn P Br
1 2 1
direct
0.000 0.000 0.000 Sn
0.250 0.250 0.250 P
0.750 0.750 0.750 P
0.500 0.500 0.500 Br
```

## Properties
Space group   No. 225
Theoretical density   5.67 g/cm³
M_tot   0.000 μB/atom
D(E_F)   2.11 states/eV/cell
Raw total energy   -3.87 eV per atom

=====

11.
Material: Sr2PBr
Method: DFT, GGA-PBEsol
State: optimized geometry

Structure (POSCAR):
```
Sr2PBr
1.0
4.411 0.000 0.000
0.000 4.411 0.000
0.000 0.000 6.064
Sr P Br
2 1 1
direct
0.000 0.000 0.000 Sr
0.500 0.500 0.500 Sr
0.000 0.000 0.500 P
0.500 0.500 0.000 Br
```

## Properties
Space group   No. 123
Theoretical density   4.03 g/cm³
M_tot   0.000 μB/atom
D(E_F)   0.19 states/eV/cell
Raw total energy   -4.29 eV per atom

=====

12.
Material: Sr2PBr
Method: DFT, GGA-PBEsol
State: optimized geometry

Structure (POSCAR):
```
Sr2PBr
1.0
-3.370 3.370 7.135
3.370 -3.370 7.135
3.370 3.370 -7.135
Sr P Br
4 2 2
direct
0.090 0.625 0.965 Sr
0.375 0.340 0.465 Sr
0.660 0.125 0.035 Sr
0.875 0.910 0.535 Sr
0.000 0.000 0.000 P
0.750 0.250 0.500 P
0.250 0.750 0.500 Br
0.500 0.500 0.000 Br
```

## Properties
Space group   No. 122
Theoretical density   2.93 g/cm³
M_tot   0.000 μB/atom
Raw total energy   -4.06 eV per atom

=====

13.
Material: Ta2PBr
Method: DFT, GGA-PBEsol
State: optimized geometry

Structure (POSCAR):
```
Ta2PBr
1.0
1.601 0.925 7.714
-1.601 0.925 7.714
0.000 -1.849 7.714
Ta P Br
2 1 1
direct
0.237 0.237 0.237 Ta
0.763 0.763 0.763 Ta
0.500 0.500 0.500 P
0.000 0.000 0.000 Br
```

## Properties
Space group   No. 166
Theoretical density   11.45 g/cm³
M_tot   0.000 μB/atom
D(E_F)   1.92 states/eV/cell
Raw total energy   -8.25 eV per atom
Polymorph energy (0 for the lowest one)   0.1903 eV/atom

=====

14.
Material: Ta2PBr
Method: DFT, GGA-PBEsol
State: optimized geometry

Structure (POSCAR):
```
Ta2PBr
1.0
3.279 0.000 0.000
0.000 3.279 0.000
0.000 0.000 6.812
Ta P Br
2 1 1
direct
0.000 0.000 0.000 Ta
0.500 0.500 0.264 Ta
0.500 0.500 0.876 P
0.000 0.000 0.521 Br
```

## Properties
Space group   No. 99
Theoretical density   10.72 g/cm³
M_tot   0.000 μB/atom
D(E_F)   3.38 states/eV/cell
Raw total energy   -8.44 eV per atom
Polymorph energy (0 for the lowest one)   0.0000 eV/atom

=====

15.
Material: Ta2PBr
Method: DFT, GGA-PBEsol
State: optimized geometry

Structure (POSCAR):
```
Ta2PBr
1.0
-1.680 1.795 6.372
1.680 -1.795 6.372
1.680 1.795 -6.372
Ta P Br
2 1 1
direct
0.000 0.000 0.000 Ta
0.834 0.334 0.500 Ta
0.371 0.871 0.500 P
0.621 0.621 0.000 Br
```

## Properties
Space group   No. 44
Theoretical density   10.21 g/cm³
M_tot   0.000 μB/atom
D(E_F)   0.87 states/eV/cell
Raw total energy   -8.40 eV per atom
Polymorph energy (0 for the lowest one)   0.0412 eV/atom

=====

16.
Material: TcP2Br
Method: DFT, GGA-PBEsol
State: optimized geometry

Structure (POSCAR):
```
TcP2Br
1.0
3.503 0.000 0.000
0.000 4.395 0.000
-1.316 0.000 4.567
Tc P Br
1 2 1
direct
0.000 0.000 0.000 Tc
0.193 0.500 0.851 P
0.807 0.500 0.149 P
0.500 0.000 0.500 Br
```

## Properties
Space group   No. 10
Theoretical density   5.66 g/cm³
M_tot   0.000 μB/atom
D(E_F)   3.08 states/eV/cell
Raw total energy   -5.92 eV per atom
Polymorph energy (0 for the lowest one)   0.0000 eV/atom

=====

17.
Material: TcP2Br
Method: DFT, GGA-PBEsol
State: optimized geometry

Structure (POSCAR):
```
TcP2Br
1.0
-1.453 2.324 5.037
1.453 -2.324 5.037
1.453 2.324 -5.037
Tc P Br
1 2 1
direct
0.000 0.000 0.000 Tc
0.192 0.692 0.500 P
0.808 0.308 0.500 P
0.500 0.500 0.000 Br
```

## Properties
Space group   No. 71
Theoretical density   5.86 g/cm³
M_tot   0.000 μB/atom
D(E_F)   2.78 states/eV/cell
Raw total energy   -5.75 eV per atom
Polymorph energy (0 for the lowest one)   0.1708 eV/atom

=====

18.
Material: TcP2Br
Method: DFT, GGA-PBEsol
State: optimized geometry

Structure (POSCAR):
```
TcP2Br
1.0
0.000 3.095 3.095
3.095 0.000 3.095
3.095 3.095 0.000
Tc P Br
1 2 1
direct
0.000 0.000 0.000 Tc
0.500 0.500 0.500 P
0.750 0.750 0.750 P
0.250 0.250 0.250 Br
```

## Properties
Space group   No. 216
Theoretical density   6.72 g/cm³
M_tot   0.000 μB/atom
D(E_F)   2.40 states/eV/cell
Raw total energy   -5.52 eV per atom
Polymorph energy (0 for the lowest one)   0.3984 eV/atom

=====

19.
Material: TcP4Br
Method: DFT, GGA-PBEsol
State: optimized geometry

Structure (POSCAR):
```
TcP4Br
1.0
0.000 3.799 3.799
3.799 0.000 3.799
3.799 3.799 0.000
Tc P Br
1 4 1
direct
0.000 0.000 0.000 Tc
0.394 0.394 0.394 P
0.394 0.394 0.817 P
0.394 0.817 0.394 P
0.817 0.394 0.394 P
0.750 0.750 0.750 Br
```

## Properties
Space group   No. 216
Theoretical density   4.57 g/cm³
M_tot   0.679 μB/atom
D(E_F)   1.97 states/eV/cell
Raw total energy   -5.18 eV per atom

=====

20.
Material: TePBr4
Method: DFT, GGA-PBEsol
State: optimized geometry

Structure (POSCAR):
```
TePBr4
1.0
0.000 4.243 4.243
4.243 0.000 4.243
4.243 4.243 0.000
Te P Br
1 1 4
direct
0.000 0.000 0.000 Te
0.250 0.250 0.250 P
0.126 0.625 0.625 Br
0.625 0.126 0.625 Br
0.625 0.625 0.126 Br
0.625 0.625 0.625 Br
```

## Properties
Space group   No. 216
Theoretical density   5.20 g/cm³
M_tot   0.100 μB/atom
D(E_F)   6.45 states/eV/cell
Raw total energy   -1.78 eV per atom